Record 1
DFT (PBE) results for a relaxed BeIn2Os crystal.

It has space group I4/mmm (No. 139), with a = 4.0586 Å, b = 4.0586 Å, c = 8.0873 Å, α = 90.00°, β = 90.00° and γ = 90.00°. The distinct sites, in fractional coordinates, are Be at (0.0000, 0.0000, 0.0000), In at (0.0000, 0.5000, 0.2500) and Os at (0.0000, 0.0000, 0.5000).

For the energy, the calculation gives -0.1700 hartree per atom. The calculation puts the magnetic moment at 0.0 μB/f.u.


Record 2
DFT (PBE) results for a relaxed BaIn crystal.

It has space group R-3m (No. 166, hexagonal axes), with a = 4.9289 Å, b = 4.9289 Å, c = 27.4642 Å, α = 90.00°, β = 90.00° and γ = 120.00°. The distinct sites, in fractional coordinates, are Ba at (0.0000, 0.0000, 0.0887) and In at (0.0000, 0.0000, 0.3447).

For the energy, the calculation gives -0.0973 hartree per atom. The calculation puts the magnetic moment at 0.0 μB/f.u.


Record 3
DFT (PBE) results for a relaxed K2ReIr crystal.

It has space group P2/m (No. 10), with a = 2.8088 Å, b = 5.8398 Å, c = 4.8419 Å, α = 90.00°, β = 91.71° and γ = 90.00°. The distinct sites, in fractional coordinates, are K at (0.2426, 0.0000, 0.2532), Re at (0.5000, 0.5000, 0.0000) and Ir at (0.0000, 0.5000, 0.5000).

For the energy, the calculation gives -0.1740 hartree per atom. The value obtained for the polymorph energy (0 for the lowest one) is 579 meV/atom. The calculation puts the magnetic moment at 0.0 μB/f.u.


Record 4
DFT (PBE) results for a relaxed ReW5 crystal.

It has space group C2/m (No. 12), with a = 10.0198 Å, b = 3.1750 Å, c = 6.3526 Å, α = 90.00°, β = 108.53° and γ = 90.00°. The distinct sites, in fractional coordinates, are Re at (0.0000, 0.0000, 0.0000), W at (0.0000, 0.0000, 0.5000), W at (0.1663, 0.5000, 0.3333) and W at (0.1681, 0.5000, 0.8336).

For the energy, the calculation gives -0.4719 hartree per atom. The value obtained for the polymorph energy (0 for the lowest one) is 7 meV/atom. The calculation puts the magnetic moment at 0.0 μB/f.u.


Record 5
DFT (PBE) results for a relaxed CsHg2PtS crystal.

It has space group P4/mmm (No. 123), with a = 5.4080 Å, b = 5.4080 Å, c = 4.9998 Å, α = 90.00°, β = 90.00° and γ = 90.00°. The distinct sites, in fractional coordinates, are Cs at (0.0000, 0.0000, 0.0000), Hg at (0.0000, 0.5000, 0.5000), Pt at (0.5000, 0.5000, 0.5000) and S at (0.5000, 0.5000, 0.0000).

Its uncorrected formation energy is -0.282 eV per atom. For the energy, the calculation gives -0.0958 hartree per atom. The calculation puts the magnetic moment at 0.0 μB/f.u.


Record 6
DFT (PBE) results for a relaxed LiPr2Bi crystal.

It has space group R-3m (No. 166, hexagonal axes), with a = 3.5459 Å, b = 3.5459 Å, c = 35.9588 Å, α = 90.00°, β = 90.00° and γ = 120.00°. The distinct sites, in fractional coordinates, are Li at (0.0000, 0.0000, 0.0000), Pr at (0.0000, 0.0000, 0.4096) and Bi at (0.0000, 0.0000, 0.5000).

For the energy, the calculation gives -0.1383 hartree per atom. The value obtained for the polymorph energy (0 for the lowest one) is 524 meV/atom. The calculation puts the magnetic moment at 0.0 μB/f.u.


Record 7
DFT (PBE) results for a relaxed MnBi2Au2 crystal.

It has space group P4/mbm (No. 127), with a = 7.2871 Å, b = 7.2871 Å, c = 4.4264 Å, α = 90.00°, β = 90.00° and γ = 90.00°. The distinct sites, in fractional coordinates, are Mn at (0.0000, 0.0000, 0.0000), Bi at (0.1738, 0.3262, 0.5000) and Au at (0.1390, 0.6390, 0.0000).

For the energy, the calculation gives -0.1679 hartree per atom. The calculation puts the magnetic moment at 4.2 μB/f.u.


Record 8
DFT (PBE) results for a relaxed MgGaOsO6 crystal.

It has space group P4_2nm (No. 102), with a = 4.6356 Å, b = 4.6356 Å, c = 9.1298 Å, α = 90.00°, β = 90.00° and γ = 90.00°. The distinct sites, in fractional coordinates, are Mg at (0.0000, 0.0000, 0.0000), Ga at (0.0000, 0.0000, 0.3320), Os at (0.0000, 0.0000, 0.6668), O at (0.1885, 0.1885, 0.5072), O at (0.1989, 0.1989, 0.8215) and O at (0.2130, 0.2130, 0.1711).

Its uncorrected formation energy is -1.530 eV per atom. For the energy, the calculation gives -0.2424 hartree per atom. The calculation puts the magnetic moment at 1.0 μB/f.u.